1.
In2PdPt8: relaxed, PBE.

Output
Theoretical density: 16.7 g/cm³
Total energy: -5.593 eV per atom

Geometry as CIF:
```
data_In2PdPt8
_chemical_formula_sum 'In2 Pd1 Pt8'
_cell_length_a 3.9985
_cell_length_b 8.2301
_cell_length_c 7.3365
_cell_angle_alpha 124.12
_cell_angle_beta 105.81
_cell_angle_gamma 90.00
_space_group_name_H-M_alt 'P 1'
_space_group_IT_number 1
_space_group_name_Hall 'P 1'
loop_
_atom_site_label
_atom_site_type_symbol
_atom_site_fract_x
_atom_site_fract_y
_atom_site_fract_z
_atom_site_occupancy
Pt1 Pt 0.6637 0.4128 0.3273 1
Pt2 Pt 0.1743 0.1743 0.3487 1
Pt3 Pt 0.8257 0.8257 0.6513 1
Pt4 Pt 0.6636 0.9145 0.3273 1
Pt5 Pt 0.0000 0.7603 0.0000 1
Pt6 Pt 0.0000 0.2397 0.0000 1
Pt7 Pt 0.3363 0.5872 0.6727 1
Pt8 Pt 0.3364 0.0855 0.6727 1
In1 In 0.1489 0.6489 0.2978 1
In2 In 0.8511 0.3511 0.7022 1
Pd1 Pd 0.5000 0.0000 0.0000 1
```

=====

2.
DySi2Rh: relaxed, PBE.

Output
Theoretical density: 7.5 g/cm³
Energy relative to the elements, uncorrected: -0.9183 eV/atom
Total energy: -6.618 eV per atom

Geometry as CIF:
```
data_DySi2Rh
_chemical_formula_sum 'Dy2 Si4 Rh2'
_cell_length_a 5.6597
_cell_length_b 5.6029
_cell_length_c 5.8532
_cell_angle_alpha 104.65
_cell_angle_beta 105.08
_cell_angle_gamma 117.82
_space_group_name_H-M_alt 'P 1'
_space_group_IT_number 1
_space_group_name_Hall 'P 1'
loop_
_atom_site_label
_atom_site_type_symbol
_atom_site_fract_x
_atom_site_fract_y
_atom_site_fract_z
_atom_site_occupancy
Si1 Si 0.7013 0.6105 0.2118 1
Si2 Si 0.4895 0.8987 0.7882 1
Si3 Si 0.5105 0.1013 0.2118 1
Si4 Si 0.2987 0.3895 0.7882 1
Dy1 Dy 0.1230 0.3730 0.2460 1
Dy2 Dy 0.8770 0.6270 0.7540 1
Rh1 Rh 0.7797 0.0297 0.5594 1
Rh2 Rh 0.2203 0.9703 0.4406 1
```